[1]
# KOsAu2 (GGA-PBE, optimized geometry)
# density of states at the Fermi level: 0.99 states/eV/atom
# calculated volume: 77.9 Å³ per cell
# space group: P4mm
# formation energy: 0.677 eV/atom
# E: -4.04 eV per atom
# distance to the lowest polymorph of the same formula: 168 meV per atom
# total magnetic moment: 0.27 μB per formula unit
data_KOsAu2
_chemical_formula_sum 'K1 Os1 Au2'
_symmetry_space_group_name_H-M 'P 1'
_symmetry_Int_Tables_number 1
_cell_length_a 2.790
_cell_length_b 2.790
_cell_length_c 10.012
_cell_angle_alpha 90.00
_cell_angle_beta 90.00
_cell_angle_gamma 90.00
loop_
_symmetry_equiv_pos_as_xyz
'x,y,z'
loop_
_atom_site_label
_atom_site_fract_x
_atom_site_fract_y
_atom_site_fract_z
K1 0.000 0.000 0.000
Os1 0.500 0.500 0.275
Au1 0.000 0.000 0.484
Au2 0.500 0.500 0.719



[2]
# K2Os2Au (GGA-PBE, optimized geometry)
# density of states at the Fermi level: 1.15 states/eV/atom
# calculated volume: 162.6 Å³ per cell
# space group: I4/mmm
# formation energy: 1.436 eV/atom
# E: -4.15 eV per atom
# distance to the lowest polymorph of the same formula: 515 meV per atom
# total magnetic moment: 3.74 μB per formula unit
data_K2Os2Au
_chemical_formula_sum 'K2 Os2 Au1'
_symmetry_space_group_name_H-M 'P 1'
_symmetry_Int_Tables_number 1
_cell_length_a 5.976
_cell_length_b 5.976
_cell_length_c 5.976
_cell_angle_alpha 112.97
_cell_angle_beta 112.97
_cell_angle_gamma 102.67
loop_
_symmetry_equiv_pos_as_xyz
'x,y,z'
loop_
_atom_site_label
_atom_site_fract_x
_atom_site_fract_y
_atom_site_fract_z
K1 0.250 0.750 0.500
K2 0.750 0.250 0.500
Os1 0.149 0.149 0.000
Os2 0.851 0.851 0.000
Au1 0.500 0.500 0.000



[3]
# KOsPdAu2 (GGA-PBE, optimized geometry)
# density of states at the Fermi level: 0.74 states/eV/atom
# calculated volume: 128.4 Å³ per cell
# space group: P4/mmm
# formation energy: 2.473 eV/atom
# E: -2.34 eV per atom
# total magnetic moment: 1.73 μB per formula unit
data_KOsPdAu2
_chemical_formula_sum 'K1 Os1 Pd1 Au2'
_symmetry_space_group_name_H-M 'P 1'
_symmetry_Int_Tables_number 1
_cell_length_a 5.189
_cell_length_b 5.189
_cell_length_c 4.770
_cell_angle_alpha 90.00
_cell_angle_beta 90.00
_cell_angle_gamma 90.00
loop_
_symmetry_equiv_pos_as_xyz
'x,y,z'
loop_
_atom_site_label
_atom_site_fract_x
_atom_site_fract_y
_atom_site_fract_z
K1 0.000 0.000 0.000
Os1 0.000 0.000 0.500
Pd1 0.500 0.500 0.500
Au1 0.000 0.500 0.000
Au2 0.500 0.000 0.000



[4]
# KOsWAu2 (GGA-PBE, optimized geometry)
# density of states at the Fermi level: 1.50 states/eV/atom
# calculated volume: 111.2 Å³ per cell
# space group: P4/mmm
# formation energy: 3.152 eV/atom
# E: -3.21 eV per atom
# total magnetic moment: 0.00 μB per formula unit
data_KOsWAu2
_chemical_formula_sum 'K1 Os1 W1 Au2'
_symmetry_space_group_name_H-M 'P 1'
_symmetry_Int_Tables_number 1
_cell_length_a 4.891
_cell_length_b 4.891
_cell_length_c 4.650
_cell_angle_alpha 90.00
_cell_angle_beta 90.00
_cell_angle_gamma 90.00
loop_
_symmetry_equiv_pos_as_xyz
'x,y,z'
loop_
_atom_site_label
_atom_site_fract_x
_atom_site_fract_y
_atom_site_fract_z
K1 0.000 0.000 0.000
Os1 0.000 0.000 0.500
W1 0.500 0.500 0.500
Au1 0.000 0.500 0.000
Au2 0.500 0.000 0.000



[5]
# KPAu2 (GGA-PBE, optimized geometry)
# density of states at the Fermi level: 0.09 states/eV/atom
# calculated volume: 97.2 Å³ per cell
# space group: Imm2
# formation energy: 0.035 eV/atom
# E: -3.23 eV per atom
# total magnetic moment: 0.00 μB per formula unit
data_KPAu2
_chemical_formula_sum 'K1 P1 Au2'
_symmetry_space_group_name_H-M 'P 1'
_symmetry_Int_Tables_number 1
_cell_length_a 5.945
_cell_length_b 5.945
_cell_length_c 5.945
_cell_angle_alpha 146.61
_cell_angle_beta 121.54
_cell_angle_gamma 69.02
loop_
_symmetry_equiv_pos_as_xyz
'x,y,z'
loop_
_atom_site_label
_atom_site_fract_x
_atom_site_fract_y
_atom_site_fract_z
K1 0.000 0.000 0.000
P1 0.712 0.212 0.500
Au1 0.327 0.827 0.500
Au2 0.545 0.545 0.000



[6]
# K5P3Au3 (GGA-PBE, optimized geometry)
# density of states at the Fermi level: 0.28 states/eV/atom
# calculated volume: 395.6 Å³ per cell
# space group: P-62m
# formation energy: -0.376 eV/atom
# E: -3.24 eV per atom
# total magnetic moment: 0.00 μB per formula unit
data_K5P3Au3
_chemical_formula_sum 'K5 P3 Au3'
_symmetry_space_group_name_H-M 'P 1'
_symmetry_Int_Tables_number 1
_cell_length_a 10.091
_cell_length_b 10.091
_cell_length_c 4.486
_cell_angle_alpha 90.00
_cell_angle_beta 90.00
_cell_angle_gamma 120.00
loop_
_symmetry_equiv_pos_as_xyz
'x,y,z'
loop_
_atom_site_label
_atom_site_fract_x
_atom_site_fract_y
_atom_site_fract_z
K1 0.000 0.743 0.000
K2 0.257 0.257 0.000
K3 0.333 0.667 0.000
K4 0.667 0.333 0.000
K5 0.743 0.000 0.000
P1 0.000 0.380 0.000
P2 0.380 0.000 0.000
P3 0.620 0.620 0.000
Au1 0.000 0.320 0.500
Au2 0.320 0.000 0.500
Au3 0.680 0.680 0.500



[7]
# KPAu2 (GGA-PBE, optimized geometry)
# density of states at the Fermi level: 0.65 states/eV/atom
# calculated volume: 107.3 Å³ per cell
# space group: R3m
# formation energy: -0.096 eV/atom
# E: -3.36 eV per atom
# total magnetic moment: 0.00 μB per formula unit
data_KPAu2
_chemical_formula_sum 'K1 P1 Au2'
_symmetry_space_group_name_H-M 'P 1'
_symmetry_Int_Tables_number 1
_cell_length_a 6.364
_cell_length_b 6.364
_cell_length_c 6.364
_cell_angle_alpha 42.69
_cell_angle_beta 42.69
_cell_angle_gamma 42.69
loop_
_symmetry_equiv_pos_as_xyz
'x,y,z'
loop_
_atom_site_label
_atom_site_fract_x
_atom_site_fract_y
_atom_site_fract_z
K1 0.000 0.000 0.000
P1 0.812 0.812 0.812
Au1 0.186 0.186 0.186
Au2 0.499 0.499 0.499



[8]
# KPAu2 (GGA-PBE, optimized geometry)
# density of states at the Fermi level: 0.22 states/eV/atom
# calculated volume: 104.9 Å³ per cell
# space group: Cm
# formation energy: -0.159 eV/atom
# E: -3.43 eV per atom
# total magnetic moment: 0.00 μB per formula unit
data_KPAu2
_chemical_formula_sum 'K1 P1 Au2'
_symmetry_space_group_name_H-M 'P 1'
_symmetry_Int_Tables_number 1
_cell_length_a 5.237
_cell_length_b 5.237
_cell_length_c 6.315
_cell_angle_alpha 111.92
_cell_angle_beta 111.92
_cell_angle_gamma 41.31
loop_
_symmetry_equiv_pos_as_xyz
'x,y,z'
loop_
_atom_site_label
_atom_site_fract_x
_atom_site_fract_y
_atom_site_fract_z
K1 0.000 0.000 0.000
P1 0.816 0.816 0.396
Au1 0.209 0.209 0.557
Au2 0.502 0.502 0.530



[9]
# K3P2Au4 (GGA-PBE, optimized geometry)
# density of states at the Fermi level: 0.56 states/eV/atom
# calculated volume: 544.7 Å³ per cell
# space group: C2/c
# formation energy: -0.268 eV/atom
# E: -3.29 eV per atom
# total magnetic moment: 0.00 μB per formula unit
data_K3P2Au4
_chemical_formula_sum 'K6 P4 Au8'
_symmetry_space_group_name_H-M 'P 1'
_symmetry_Int_Tables_number 1
_cell_length_a 9.589
_cell_length_b 9.589
_cell_length_c 6.195
_cell_angle_alpha 101.45
_cell_angle_beta 101.45
_cell_angle_gamma 82.53
loop_
_symmetry_equiv_pos_as_xyz
'x,y,z'
loop_
_atom_site_label
_atom_site_fract_x
_atom_site_fract_y
_atom_site_fract_z
K1 0.152 0.848 0.750
K2 0.202 0.394 0.626
K3 0.394 0.202 0.126
K4 0.606 0.798 0.874
K5 0.798 0.606 0.374
K6 0.848 0.152 0.250
P1 0.058 0.417 0.092
P2 0.417 0.058 0.592
P3 0.583 0.942 0.408
P4 0.942 0.583 0.908
Au1 0.012 0.798 0.154
Au2 0.202 0.988 0.346
Au3 0.267 0.545 0.194
Au4 0.455 0.733 0.306
Au5 0.545 0.267 0.694
Au6 0.733 0.455 0.806
Au7 0.798 0.012 0.654
Au8 0.988 0.202 0.846



[10]
# KP3Au (GGA-PBE, optimized geometry)
# density of states at the Fermi level: 1.48 states/eV/atom
# calculated volume: 145.0 Å³ per cell
# space group: Pm-3m
# formation energy: 2.201 eV/atom
# E: -1.92 eV per atom
# distance to the lowest polymorph of the same formula: 1503 meV per atom
# total magnetic moment: 1.10 μB per formula unit
data_KP3Au
_chemical_formula_sum 'K1 P3 Au1'
_symmetry_space_group_name_H-M 'P 1'
_symmetry_Int_Tables_number 1
_cell_length_a 5.254
_cell_length_b 5.254
_cell_length_c 5.254
_cell_angle_alpha 90.00
_cell_angle_beta 90.00
_cell_angle_gamma 90.00
loop_
_symmetry_equiv_pos_as_xyz
'x,y,z'
loop_
_atom_site_label
_atom_site_fract_x
_atom_site_fract_y
_atom_site_fract_z
K1 0.000 0.000 0.000
P1 0.000 0.000 0.500
P2 0.000 0.500 0.000
P3 0.500 0.000 0.000
Au1 0.500 0.500 0.500



[11]
# KPAu (GGA-PBE, optimized geometry)
# density of states at the Fermi level: 0.48 states/eV/atom
# calculated volume: 156.4 Å³ per cell
# space group: P6_3/mmc
# formation energy: -0.356 eV/atom
# E: -3.62 eV per atom
# total magnetic moment: 0.00 μB per formula unit
data_KPAu
_chemical_formula_sum 'K2 P2 Au2'
_symmetry_space_group_name_H-M 'P 1'
_symmetry_Int_Tables_number 1
_cell_length_a 4.158
_cell_length_b 4.158
_cell_length_c 10.447
_cell_angle_alpha 90.00
_cell_angle_beta 90.00
_cell_angle_gamma 120.00
loop_
_symmetry_equiv_pos_as_xyz
'x,y,z'
loop_
_atom_site_label
_atom_site_fract_x
_atom_site_fract_y
_atom_site_fract_z
K1 0.000 0.000 0.000
K2 0.000 0.000 0.500
P1 0.333 0.667 0.250
P2 0.667 0.333 0.750
Au1 0.333 0.667 0.750
Au2 0.667 0.333 0.250



[12]
# K6PAu4 (GGA-PBE, optimized geometry)
# density of states at the Fermi level: 0.39 states/eV/atom
# calculated volume: 427.8 Å³ per cell
# space group: Amm2
# formation energy: -0.145 eV/atom
# E: -2.43 eV per atom
# total magnetic moment: 1.01 μB per formula unit
data_K6PAu4
_chemical_formula_sum 'K6 P1 Au4'
_symmetry_space_group_name_H-M 'P 1'
_symmetry_Int_Tables_number 1
_cell_length_a 5.102
_cell_length_b 9.730
_cell_length_c 9.730
_cell_angle_alpha 62.32
_cell_angle_beta 90.00
_cell_angle_gamma 90.00
loop_
_symmetry_equiv_pos_as_xyz
'x,y,z'
loop_
_atom_site_label
_atom_site_fract_x
_atom_site_fract_y
_atom_site_fract_z
K1 0.000 0.000 0.000
K2 0.000 0.619 0.967
K3 0.000 0.967 0.619
K4 0.500 0.364 0.790
K5 0.500 0.366 0.366
K6 0.500 0.790 0.364
P1 0.500 0.875 0.875
Au1 0.000 0.317 0.605
Au2 0.000 0.605 0.317
Au3 0.000 0.613 0.613
Au4 0.500 0.171 0.171



Among the records above, which one has the highest formation energy? KOsWAu2



Look up the density of states at the Fermi level of the twelfth one. 0.39 states/eV/atom



Please write out number 12 again, unchanged.
# K6PAu4 (GGA-PBE, optimized geometry)
# density of states at the Fermi level: 0.39 states/eV/atom
# calculated volume: 427.8 Å³ per cell
# space group: Amm2
# formation energy: -0.145 eV/atom
# E: -2.43 eV per atom
# total magnetic moment: 1.01 μB per formula unit
data_K6PAu4
_chemical_formula_sum 'K6 P1 Au4'
_symmetry_space_group_name_H-M 'P 1'
_symmetry_Int_Tables_number 1
_cell_length_a 5.102
_cell_length_b 9.730
_cell_length_c 9.730
_cell_angle_alpha 62.32
_cell_angle_beta 90.00
_cell_angle_gamma 90.00
loop_
_symmetry_equiv_pos_as_xyz
'x,y,z'
loop_
_atom_site_label
_atom_site_fract_x
_atom_site_fract_y
_atom_site_fract_z
K1 0.000 0.000 0.000
K2 0.000 0.619 0.967
K3 0.000 0.967 0.619
K4 0.500 0.364 0.790
K5 0.500 0.366 0.366
K6 0.500 0.790 0.364
P1 0.500 0.875 0.875
Au1 0.000 0.317 0.605
Au2 0.000 0.605 0.317
Au3 0.000 0.613 0.613
Au4 0.500 0.171 0.171